Entry 1:
Entry from the Alexandria database: Na2BiS3 after structural relaxation (PBE-GGA).

Output
As for the formation energy without anion corrections: -355 kJ/mol of formula units. As for the crystal system: orthorhombic. The calculation puts the density of states at the Fermi level at 0.2269 states/eV/atom.

abc: 4.7738 12.9241 5.9932
angles: 90.00 90.00 90.00
Last column: nearest neighbours and their distance in Å.
Space group Imm2 (No. 44)
Symmetry-distinct sites (fractional):
1 Na 0.0000 0.1659 0.0000  4 S 2.77-2.86
2 Bi 0.0000 0.5000 0.9814  4 S 2.49-2.68
3 S 0.0000 0.0000 0.6841  2 Bi 2.68, 2 Na 2.86
4 S 0.0000 0.3446 0.7350  1 Bi 2.49, 2 Na 2.77

---

Entry 2:
Entry from the Alexandria database: Na3BiS after structural relaxation (PBE-GGA).

Output
As for the formation energy without anion corrections: -212 kJ/mol of formula units. As for the crystal system: cubic. The calculation puts the density of states at the Fermi level at 0.6064 states/eV/atom.

abc: 5.3523 5.3523 5.3523
angles: 90.00 90.00 90.00
Last column: nearest neighbours and their distance in Å.
Space group Pm-3m (No. 221)
Symmetry-distinct sites (fractional):
1 Na 0.0000 0.0000 0.5000  2 S 2.68
2 Bi 0.5000 0.5000 0.5000  12 Na 3.78
3 S 0.0000 0.0000 0.0000  6 Na 2.68

---

Entry 3:
Entry from the Alexandria database: Na2BiSbS4 after structural relaxation (PBE-GGA).

Output
As for the formation energy without anion corrections: -538 kJ/mol of formula units. As for the crystal system: monoclinic.

abc: 6.9744 4.0278 7.1835
angles: 90.00 108.87 90.00
Last column: nearest neighbours and their distance in Å.
Space group P2/m (No. 10)
Symmetry-distinct sites (fractional):
1 Na 0.0000 0.0000 0.0000  6 S 2.97
2 Na 0.5000 0.5000 0.0000  6 S 2.92
3 Bi 0.0000 0.5000 0.5000  6 S 2.84
4 Sb 0.5000 0.0000 0.5000  6 S 2.79-2.80
5 S 0.2507 0.0000 0.7360  1 Sb 2.79, 2 Bi 2.84, 3 Na 2.92-2.97
6 S 0.2611 0.5000 0.2672  2 Sb 2.80, 1 Bi 2.84, 3 Na 2.92-2.97

---

Entry 4:
Entry from the Alexandria database: Na2ScBiS4 after structural relaxation (PBE-GGA).

Output
As for the formation energy without anion corrections: -949 kJ/mol of formula units. As for the crystal system: monoclinic. The calculation puts the density of states at the Fermi level at 0.0000 states/eV/atom.

abc: 6.8628 3.9160 7.0633
angles: 90.00 108.63 90.00
Last column: nearest neighbours and their distance in Å.
Space group P2/m (No. 10)
Symmetry-distinct sites (fractional):
1 Na 0.0000 0.0000 0.0000  6 S 2.85-2.87
2 Na 0.5000 0.5000 0.0000  6 S 3.00-3.02
3 Sc 0.0000 0.5000 0.5000  6 S 2.63-2.66
4 Bi 0.5000 0.0000 0.5000  6 S 2.80
5 S 0.2235 0.0000 0.7186  2 Sc 2.66, 1 Bi 2.80, 1 Na 2.87
6 S 0.2362 0.5000 0.2704  1 Sc 2.63, 2 Bi 2.80, 2 Na 2.85

---

Entry 5:
Entry from the Alexandria database: Na3ScBi2S6 after structural relaxation (PBE-GGA).

Output
As for the formation energy without anion corrections: -1242 kJ/mol of formula units. As for the crystal system: monoclinic. The calculation puts the density of states at the Fermi level at 0.0000 states/eV/atom.

abc: 6.9031 11.9691 7.1015
angles: 90.00 109.06 90.00
Last column: nearest neighbours and their distance in Å.
Space group C2/m (No. 12)
Symmetry-distinct sites (fractional):
1 Na 0.0000 0.0000 0.0000  6 S 2.88-3.06
2 Na 0.0000 0.3280 0.0000  6 S 2.89-3.01
3 Sc 0.0000 0.5000 0.5000  6 S 2.64-2.65
4 Bi 0.0000 0.1658 0.5000  6 S 2.82-2.84
5 S 0.2327 0.3437 0.7282  1 Sc 2.65, 2 Bi 2.83-2.84, 2 Na 2.88-2.89
6 S 0.2360 0.5000 0.2729  1 Sc 2.64, 2 Bi 2.82, 2 Na 2.93

---

Entry 6:
Entry from the Alexandria database: NaBiSeS after structural relaxation (PBE-GGA).

Output
As for the formation energy without anion corrections: -273 kJ/mol of formula units. As for the crystal system: trigonal.

abc: 4.1069 4.1069 21.7798
angles: 90.00 90.00 120.00
Last column: nearest neighbours and their distance in Å.
Space group R3m (No. 160, hexagonal axes)
Symmetry-distinct sites (fractional):
1 Na 0.0000 0.0000 0.0000  3 S 3.04, 3 Se 3.08
2 Bi 0.0000 0.0000 0.1624  3 S 2.88, 3 Se 2.95
3 Se 0.0000 0.0000 0.5763  3 Bi 2.95, 3 Na 3.08
4 S 0.0000 0.0000 0.7543  3 Bi 2.88, 3 Na 3.04

---

Entry 7:
Entry from the Alexandria database: Na2SiBiS4 after structural relaxation (PBE-GGA).

Output
As for the formation energy without anion corrections: -550 kJ/mol of formula units. As for the crystal system: orthorhombic. The calculation puts the density of states at the Fermi level at 0.2600 states/eV/atom.

abc: 8.8783 7.2777 6.7894
angles: 90.00 90.00 90.00
Last column: nearest neighbours and their distance in Å.
Space group Pmn2_1 (No. 31)
Symmetry-distinct sites (fractional):
1 Na 0.2468 0.1750 0.0000  4 S 2.71-2.82
2 Si 0.0000 0.6576 0.0018  4 S 2.11-2.19
3 Bi 0.0000 0.3299 0.4329  3 S 2.60-2.87
4 S 0.0000 0.3791 0.9144  1 Si 2.11
5 S 0.0000 0.6721 0.3247  1 Si 2.19
6 S 0.1966 0.8030 0.9035  1 Si 2.15

---

Entry 8:
Entry from the Alexandria database: Na3SmBi2S6 after structural relaxation (PBE-GGA).

Output
As for the formation energy without anion corrections: -1282 kJ/mol of formula units. As for the crystal system: monoclinic. The calculation puts the density of states at the Fermi level at 0.0000 states/eV/atom.

abc: 7.0626 12.2357 7.1527
angles: 90.00 109.20 90.00
Last column: nearest neighbours and their distance in Å.
Space group C2/m (No. 12)
Symmetry-distinct sites (fractional):
1 Na 0.0000 0.0000 0.0000  6 S 2.95-2.97
2 Na 0.0000 0.3292 0.0000  6 S 2.94-2.99
3 Sm 0.0000 0.5000 0.5000  6 S 2.82-2.83
4 Bi 0.0000 0.1662 0.5000  6 S 2.84-2.85
5 S 0.2435 0.3345 0.7343  1 Sm 2.82, 2 Bi 2.84-2.85, 3 Na 2.94-2.95
6 S 0.2472 0.0000 0.7353  1 Sm 2.83, 2 Bi 2.84, 3 Na 2.97-2.99